[1]
This record from Alexandria via LeMat-Bulk describes crystalline TaGa2AgAu at its relaxed geometry. The functional is GGA-PBEsol.

Unit cell a=4.6467 b=4.6467 c=5.1735 alpha=90.00 beta=90.00 gamma=90.00
Fractional positions:
Ta: 0.0000 0.0000 0.0000
Ga: 0.0000 0.5000 0.5000
Ga: 0.5000 0.0000 0.5000
Ag: 0.5000 0.5000 0.0000
Au: 0.0000 0.0000 0.5000

Summary:
Its symmetry is No. 123. Its density of states at the Fermi level is 3.33 states/eV/f.u. Its calculated density is 9.29 g cm⁻³. The uncorrected energy comes out at -21.5 eV for the cell shown.

[2]
This record from Alexandria via LeMat-Bulk describes crystalline Gd2AgAu at its relaxed geometry. The functional is GGA-PBEsol.

Unit cell a=7.1624 b=7.1624 c=7.1624 alpha=90.00 beta=90.00 gamma=90.00
Fractional positions:
Gd: 0.2500 0.2500 0.2500
Gd: 0.2500 0.2500 0.7500
Gd: 0.2500 0.7500 0.2500
Gd: 0.2500 0.7500 0.7500
Gd: 0.7500 0.2500 0.2500
Gd: 0.7500 0.2500 0.7500
Gd: 0.7500 0.7500 0.2500
Gd: 0.7500 0.7500 0.7500
Ag: 0.0000 0.0000 0.0000
Ag: 0.0000 0.5000 0.5000
Ag: 0.5000 0.0000 0.5000
Ag: 0.5000 0.5000 0.0000
Au: 0.0000 0.0000 0.5000
Au: 0.0000 0.5000 0.0000
Au: 0.5000 0.0000 0.0000
Au: 0.5000 0.5000 0.5000

Summary:
Its symmetry is No. 225. Its density of states at the Fermi level is 3.13 states/eV/f.u. Its calculated density is 11.20 g cm⁻³. The uncorrected energy comes out at -153.5 eV for the cell shown.

[3]
This record from Alexandria via LeMat-Bulk describes crystalline Ag3GeAu at its relaxed geometry. The functional is GGA-PBEsol.

Unit cell a=4.9914 b=4.9914 c=4.9914 alpha=90.00 beta=90.00 gamma=90.00
Fractional positions:
Ag: 0.0000 0.0000 0.5000
Ag: 0.0000 0.5000 0.0000
Ag: 0.5000 0.0000 0.0000
Ge: 0.5000 0.5000 0.5000
Au: 0.0000 0.0000 0.0000

Summary:
Its symmetry is No. 221. Its density of states at the Fermi level is 1.70 states/eV/f.u. Its calculated density is 7.92 g cm⁻³. The uncorrected energy comes out at -14.4 eV for the cell shown.

[4]
This record from Alexandria via LeMat-Bulk describes crystalline Ag2GeWAu at its relaxed geometry. The functional is GGA-PBEsol.

Unit cell a=4.6762 b=4.6762 c=4.7275 alpha=90.00 beta=90.00 gamma=90.00
Fractional positions:
Ag: 0.0000 0.5000 0.0000
Ag: 0.5000 0.0000 0.0000
Ge: 0.0000 0.0000 0.0000
W: 0.5000 0.5000 0.5000
Au: 0.0000 0.0000 0.5000

Summary:
Its symmetry is No. 123. Its density of states at the Fermi level is 2.65 states/eV/f.u. Its calculated density is 10.75 g cm⁻³. The uncorrected energy comes out at -22.0 eV for the cell shown.

[5]
This record from Alexandria via LeMat-Bulk describes crystalline LiAgH2Au at its relaxed geometry. The functional is GGA-PBEsol.

Unit cell a=3.5676 b=3.5676 c=5.0994 alpha=90.00 beta=90.00 gamma=90.00
Fractional positions:
Li: 0.0000 0.0000 0.0000
Ag: 0.5000 0.5000 0.0000
H: 0.0000 0.5000 0.5000
H: 0.5000 0.0000 0.5000
Au: 0.0000 0.0000 0.5000

Summary:
Its symmetry is No. 123. Its density of states at the Fermi level is 2.07 states/eV/f.u. Its calculated density is 8.03 g cm⁻³. The uncorrected energy comes out at -14.4 eV for the cell shown.

[6]
This record from Alexandria via LeMat-Bulk describes crystalline HfMnAgAu2 at its relaxed geometry. The functional is GGA-PBEsol.

Unit cell a=5.0676 b=5.0676 c=4.5526 alpha=90.00 beta=90.00 gamma=90.00
Fractional positions:
Hf: 0.0000 0.0000 0.0000
Mn: 0.0000 0.0000 0.5000
Ag: 0.5000 0.5000 0.5000
Au: 0.0000 0.5000 0.0000
Au: 0.5000 0.0000 0.0000

Summary:
Its symmetry is No. 123. Its density of states at the Fermi level is 3.41 states/eV/f.u. Its calculated density is 10.44 g cm⁻³. The uncorrected energy comes out at -25.7 eV for the cell shown.

[7]
This record from Alexandria via LeMat-Bulk describes crystalline AgHgAu2 at its relaxed geometry. The functional is GGA-PBEsol.

Unit cell a=2.9494 b=2.9494 c=8.1574 alpha=90.00 beta=90.00 gamma=90.00
Fractional positions:
Ag: 0.0000 0.0000 0.0000
Hg: 0.5000 0.5000 0.2568
Au: 0.0000 0.0000 0.5190
Au: 0.5000 0.5000 0.7613

Summary:
Its symmetry is No. 99. Its density of states at the Fermi level is 1.08 states/eV/f.u. Its calculated density is 16.44 g cm⁻³. The uncorrected energy comes out at -11.7 eV for the cell shown.

[8]
This record from Alexandria via LeMat-Bulk describes crystalline Ag2HgAu at its relaxed geometry. The functional is GGA-PBEsol.

Unit cell a=4.1610 b=4.1610 c=4.0506 alpha=90.00 beta=90.00 gamma=90.00
Fractional positions:
Ag: 0.0000 0.5000 0.0000
Ag: 0.5000 0.0000 0.0000
Hg: 0.0000 0.0000 0.5000
Au: 0.5000 0.5000 0.5000

Summary:
Its symmetry is No. 123. Its density of states at the Fermi level is 1.31 states/eV/f.u. Its calculated density is 14.52 g cm⁻³. The uncorrected energy comes out at -11.2 eV for the cell shown.